## FeW (GGA-PBE)

Data for an optimized crystal structure of FeW.

## Properties
Calculated formation energy ... 115 meV/atom

a = 9.587 Å, b = 3.101 Å, c = 5.885 Å
α = 90.00°, β = 107.44°, γ = 90.00°
Element x y z (fractional)
Fe: 0.000 0.000 0.000
Fe: 0.166 0.500 0.844
Fe: 0.334 0.000 0.156
Fe: 0.500 0.500 0.000
Fe: 0.666 0.000 0.844
Fe: 0.834 0.500 0.156
W: 0.000 0.000 0.500
W: 0.167 0.500 0.318
W: 0.333 0.000 0.682
W: 0.500 0.500 0.500
W: 0.667 0.000 0.318
W: 0.833 0.500 0.682



## VCo3H (GGA-PBE)

Data for an optimized crystal structure of VCo3H.

a = 6.632 Å, b = 6.632 Å, c = 4.378 Å
α = 90.57°, β = 90.57°, γ = 103.04°
Element x y z (fractional)
V: 0.058 0.201 0.052
V: 0.201 0.058 0.552
V: 0.799 0.942 0.448
V: 0.942 0.799 0.948
Co: 0.062 0.683 0.422
Co: 0.186 0.562 0.914
Co: 0.302 0.430 0.421
Co: 0.317 0.938 0.078
Co: 0.430 0.302 0.921
Co: 0.438 0.814 0.586
Co: 0.562 0.186 0.414
Co: 0.570 0.698 0.079
Co: 0.683 0.062 0.922
Co: 0.698 0.570 0.579
Co: 0.814 0.438 0.086
Co: 0.938 0.317 0.578
H: 0.313 0.687 0.250
H: 0.443 0.557 0.750
H: 0.557 0.443 0.250
H: 0.687 0.313 0.750



## GePd4Pb3 (GGA-PBE)

Data for an optimized crystal structure of GePd4Pb3.

## Properties
Calculated formation energy ... -221 meV/atom

a = 10.413 Å, b = 5.876 Å, c = 5.322 Å
α = 90.00°, β = 90.00°, γ = 90.00°
Element x y z (fractional)
Ge: 0.000 0.195 0.000
Ge: 0.500 0.805 0.500
Pd: 0.000 0.332 0.524
Pd: 0.000 0.621 0.005
Pd: 0.231 0.344 0.905
Pd: 0.269 0.656 0.405
Pd: 0.500 0.379 0.505
Pd: 0.500 0.668 0.024
Pd: 0.731 0.656 0.405
Pd: 0.769 0.344 0.905
Pb: 0.000 0.815 0.483
Pb: 0.244 0.824 0.913
Pb: 0.256 0.176 0.413
Pb: 0.500 0.185 0.983
Pb: 0.744 0.176 0.413
Pb: 0.756 0.824 0.913



## Ac6PtRh2Cl2 (GGA-PBE)

Data for an optimized crystal structure of Ac6PtRh2Cl2.

## Properties
Energy relative to the elements, uncorrected ... -25.9 kcal/mol of atoms

a = 7.598 Å, b = 7.598 Å, c = 8.015 Å
α = 99.13°, β = 99.13°, γ = 119.85°
Element x y z (fractional)
Ac: 0.089 0.424 0.788
Ac: 0.228 0.228 0.212
Ac: 0.424 0.089 0.788
Ac: 0.576 0.911 0.212
Ac: 0.772 0.772 0.788
Ac: 0.911 0.576 0.212
Pt: 0.500 0.500 0.000
Rh: 0.170 0.830 0.000
Rh: 0.830 0.170 0.000
Cl: 0.332 0.668 0.500
Cl: 0.668 0.332 0.500



What did we get for DFT total energy? Answer: -10.593, -6.786, -4.785, -5.586 eV/atom, in the order shown.